Entry 1:
A plane-wave DFT calculation with PBEsol was carried out for a relaxed structure of CaTcAs2Br.

Properties
The calculation puts the uncorrected formation energy at -238 meV per atom.

Cell: 4.701 4.701 5.431 Å, 90.00 90.00 90.00°
Space group P4/mmm (No. 123)
Asymmetric unit:
Ca 0.000 0.000 0.000 x1
Tc 0.500 0.500 0.500 x1
As 0.000 0.500 0.500 x2
Br 0.500 0.500 0.000 x1

Entry 2:
A plane-wave DFT calculation with PBEsol was carried out for a relaxed structure of SrAsW2.

Properties
The final energy is -7.76 eV/atom.

Cell: 3.0548 3.0548 27.9150 Å, 90.00 90.00 120.00°
Space group R-3m (No. 166, hexagonal axes)
Asymmetric unit:
Sr 0.0000 0.0000 0.0000 x3
As 0.0000 0.0000 0.5000 x3
W 0.0000 0.0000 0.2344 x6

Entry 3:
A plane-wave DFT calculation with PBEsol was carried out for a relaxed structure of Co2Te2Pb.

Properties
The calculation puts the uncorrected formation energy at -1 meV per atom.

Cell: 3.625 3.625 16.520 Å, 90.00 90.00 90.00°
Space group I4/mmm (No. 139)
Asymmetric unit:
Co 0.000 0.500 0.250 x4
Te 0.000 0.000 0.149 x4
Pb 0.000 0.000 0.500 x2

Entry 4:
A plane-wave DFT calculation with PBEsol was carried out for a relaxed structure of LaMn2Tc.

Properties
The value obtained for the energy above the most stable polymorph in this dataset is 1.751 kcal/mol of atoms.

Cell: 2.8993 2.8993 27.1849 Å, 90.00 90.00 120.00°
Space group R3m (No. 160, hexagonal axes)
Asymmetric unit:
La 0.0000 0.0000 0.0000 x3
Mn 0.0000 0.0000 0.4996 x3
Mn 0.0000 0.0000 0.7686 x3
Tc 0.0000 0.0000 0.2335 x3

Entry 5:
A plane-wave DFT calculation with PBEsol was carried out for a relaxed structure of ReAu2Se.

Properties
The calculation puts the uncorrected formation energy at 470 meV per atom.

Cell: 8.494 2.994 5.392 Å, 90.00 99.36 90.00°
Space group Cm (No. 8)
Asymmetric unit:
Re 0.000 0.000 0.000 x2
Au 0.003 0.500 0.468 x2
Au 0.255 0.000 0.717 x2
Se 0.226 0.500 0.165 x2

Entry 6:
A plane-wave DFT calculation with PBEsol was carried out for a relaxed structure of BiSbPt2.

Properties
The calculation puts the uncorrected formation energy at -331 meV per atom.

Cell: 4.2634 4.2634 5.4828 Å, 90.00 90.00 120.00°
Space group P-6m2 (No. 187)
Asymmetric unit:
Bi 0.0000 0.0000 0.0000 x1
Sb 0.6667 0.3333 0.5000 x1
Pt 0.3333 0.6667 0.2548 x2